Below is a PBEsol-optimized structure of LaZnSi3, with properties calculated at the meta-GGA SCAN level.

Cell lengths 5.464, 5.464, 5.464 Å; angles 90.00, 90.00, 90.00 degrees
Space group Pm-3m (No. 221)
One atom of each set of equivalent atoms:
La 0.000 0.000 0.000
Zn 0.500 0.500 0.500
Si 0.000 0.000 0.500

Summary:
DOS at the Fermi energy = 6.08 states/eV/f.u.
Density = 2.94 g cm⁻³
Uncorrected formation energy = 1641 meV per atom

Below is a PBEsol-optimized structure of HoSi, with properties calculated at the meta-GGA SCAN level.

Cell lengths 7.766, 3.779, 5.608 Å; angles 90.00, 90.00, 90.00 degrees
Space group Pnma (No. 62)
One atom of each set of equivalent atoms:
Ho 0.179 0.250 0.115
Si 0.038 0.250 0.630

Summary:
DOS at the Fermi energy = 0.82 states/eV/f.u.
Density = 7.79 g cm⁻³
Uncorrected formation energy = -862 meV per atom

Below is a PBEsol-optimized structure of HfSbN3, with properties calculated at the meta-GGA SCAN level.

Cell lengths 3.937, 3.937, 3.937 Å; angles 90.00, 90.00, 90.00 degrees
Space group Pm-3m (No. 221)
One atom of each set of equivalent atoms:
Hf 0.000 0.000 0.000
Sb 0.500 0.500 0.500
N 0.000 0.500 0.500

Summary:
DOS at the Fermi energy = 0.36 states/eV/f.u.
Density = 9.31 g cm⁻³
Uncorrected formation energy = 545 meV per atom

Below is a PBEsol-optimized structure of TaCo2Ag, with properties calculated at the meta-GGA SCAN level.

Cell lengths 3.946, 2.842, 9.651 Å; angles 90.00, 90.00, 90.00 degrees
Space group Amm2 (No. 38)
One atom of each set of equivalent atoms:
Ta 0.000 0.000 0.000
Co 0.000 0.000 0.726
Co 0.500 0.000 0.592
Ag 0.500 0.000 0.324

Summary:
DOS at the Fermi energy = 2.85 states/eV/f.u.
ΔE to the lowest computed polymorph = 0.161 eV/atom
Energy of formation = 0.323 eV/atom
Density = 12.48 g cm⁻³

Below is a PBEsol-optimized structure of In2MoAs, with properties calculated at the meta-GGA SCAN level.

Cell lengths 10.430, 3.199, 4.569 Å; angles 90.00, 94.56, 90.00 degrees
Space group C2/m (No. 12)
One atom of each set of equivalent atoms:
In 0.233 0.000 0.243
Mo 0.000 0.500 0.000
As 0.000 0.000 0.500

Summary:
DOS at the Fermi energy = 2.83 states/eV/f.u.
Energy of formation = 0.486 eV/atom
Density = 8.75 g cm⁻³

Below is a PBEsol-optimized structure of ZnSiHg2, with properties calculated at the meta-GGA SCAN level.

Cell lengths 3.000, 4.322, 12.275 Å; angles 90.00, 90.00, 90.00 degrees
Space group Imm2 (No. 44)
One atom of each set of equivalent atoms:
Zn 0.000 0.000 0.000
Si 0.000 0.500 0.330
Hg 0.000 0.000 0.567
Hg 0.000 0.500 0.747

Summary:
DOS at the Fermi energy = 1.26 states/eV/f.u.
ΔE to the lowest computed polymorph = 0.000 eV/atom
Density = 10.32 g cm⁻³
Uncorrected formation energy = 340 meV per atom

Below is a PBEsol-optimized structure of TlP2HO7, with properties calculated at the meta-GGA SCAN level.

Cell lengths 7.316, 8.953, 10.011 Å; angles 90.00, 119.97, 90.00 degrees
Space group P2_1/c (No. 14)
One atom of each set of equivalent atoms:
Tl 0.022 0.209 0.000
P 0.061 0.006 0.738
P 0.445 0.638 0.273
H 0.442 0.572 0.771
O 0.010 0.005 0.139
O 0.067 0.173 0.707
O 0.071 0.084 0.406
O 0.297 0.560 0.329
O 0.328 0.726 0.674
O 0.360 0.180 0.079
O 0.481 0.523 0.173

Summary:
DOS at the Fermi energy = 0.00 states/eV/f.u.
Total energy = -14.61 eV/atom
Density = 4.44 g cm⁻³

Below is a PBEsol-optimized structure of Sb2Te, with properties calculated at the meta-GGA SCAN level.

Cell lengths 6.352, 6.352, 8.796 Å; angles 90.00, 90.00, 90.00 degrees
Space group I4/mcm (No. 140)
One atom of each set of equivalent atoms:
Sb 0.167 0.333 0.000
Te 0.000 0.000 0.250

Summary:
DOS at the Fermi energy = 1.82 states/eV/f.u.
ΔE to the lowest computed polymorph = 0.226 eV/atom
Density = 6.95 g cm⁻³
Uncorrected formation energy = 221 meV per atom

Below is a PBEsol-optimized structure of La2SiPt, with properties calculated at the meta-GGA SCAN level.

Cell lengths 4.3642, 4.3642, 16.3913 Å; angles 90.00, 90.00, 120.00 degrees
Space group R3m (No. 160, hexagonal axes)
One atom of each set of equivalent atoms:
La 0.0000 0.0000 0.0000
La 0.0000 0.0000 0.2199
Si 0.0000 0.0000 0.4348
Pt 0.0000 0.0000 0.7817

Summary:
DOS at the Fermi energy = 1.15 states/eV/f.u.
Density = 9.23 g cm⁻³
Uncorrected formation energy = -962 meV per atom

Below is a PBEsol-optimized structure of ZnRe2AsOs, with properties calculated at the meta-GGA SCAN level.

Cell lengths 4.466, 4.466, 4.337 Å; angles 90.00, 90.00, 90.00 degrees
Space group P4/mmm (No. 123)
One atom of each set of equivalent atoms:
Zn 0.000 0.000 0.000
Re 0.000 0.500 0.500
As 0.000 0.000 0.500
Os 0.500 0.500 0.000

Summary:
DOS at the Fermi energy = 4.68 states/eV/f.u.
Energy of formation = 1.946 eV/atom
Density = 13.50 g cm⁻³

Below is a PBEsol-optimized structure of NbZn3As, with properties calculated at the meta-GGA SCAN level.

Cell lengths 4.883, 4.883, 4.883 Å; angles 90.00, 90.00, 90.00 degrees
Space group Pm-3m (No. 221)
One atom of each set of equivalent atoms:
Nb 0.000 0.000 0.000
Zn 0.000 0.000 0.500
As 0.500 0.500 0.500

Summary:
DOS at the Fermi energy = 2.52 states/eV/f.u.
Energy of formation = 1.274 eV/atom
Density = 5.19 g cm⁻³

Below is a PBEsol-optimized structure of SrCo2Ir, with properties calculated at the meta-GGA SCAN level.

Cell lengths 2.728, 3.605, 6.596 Å; angles 90.00, 90.13, 90.00 degrees
Space group P2/m (No. 10)
One atom of each set of equivalent atoms:
Sr 0.000 0.000 0.000
Co 0.499 0.500 0.326
Ir 0.000 0.000 0.500

Summary:
DOS at the Fermi energy = 3.81 states/eV/f.u.
Energy of formation = 0.399 eV/atom
Density = 10.18 g cm⁻³

Below is a PBEsol-optimized structure of LaCdTc2, with properties calculated at the meta-GGA SCAN level.

Cell lengths 2.8670, 2.8670, 30.7064 Å; angles 90.00, 90.00, 120.00 degrees
Space group R-3m (No. 166, hexagonal axes)
One atom of each set of equivalent atoms:
La 0.0000 0.0000 0.0000
Cd 0.0000 0.0000 0.5000
Tc 0.0000 0.0000 0.2435

Summary:
DOS at the Fermi energy = 4.62 states/eV/f.u.
Energy of formation = 0.795 eV/atom
Density = 10.19 g cm⁻³

Below is a PBEsol-optimized structure of Al2CdCoAs, with properties calculated at the meta-GGA SCAN level.

Cell lengths 4.892, 4.892, 4.266 Å; angles 90.00, 90.00, 90.00 degrees
Space group P4/mmm (No. 123)
One atom of each set of equivalent atoms:
Al 0.000 0.500 0.000
Cd 0.000 0.000 0.500
Co 0.500 0.500 0.500
As 0.500 0.500 0.000

Summary:
DOS at the Fermi energy = 2.88 states/eV/f.u.
Energy of formation = 0.613 eV/atom
Density = 4.88 g cm⁻³

Below is a PBEsol-optimized structure of LiCoSbTe2, with properties calculated at the meta-GGA SCAN level.

Cell lengths 4.957, 4.957, 4.738 Å; angles 90.00, 90.00, 90.00 degrees
Space group P4/mmm (No. 123)
One atom of each set of equivalent atoms:
Li 0.000 0.000 0.000
Co 0.500 0.500 0.500
Sb 0.000 0.000 0.500
Te 0.000 0.500 0.000

Summary:
DOS at the Fermi energy = 3.44 states/eV/f.u.
Density = 6.32 g cm⁻³
Uncorrected formation energy = 766 meV per atom

Below is a PBEsol-optimized structure of BaLi3Br, with properties calculated at the meta-GGA SCAN level.

Cell lengths 5.376, 5.376, 5.376 Å; angles 90.00, 90.00, 90.00 degrees
Space group Pm-3m (No. 221)
One atom of each set of equivalent atoms:
Ba 0.000 0.000 0.000
Li 0.000 0.500 0.500
Br 0.500 0.500 0.500

Summary:
DOS at the Fermi energy = 1.84 states/eV/f.u.
Density = 2.54 g cm⁻³
Uncorrected formation energy = -327 meV per atom

Below is a PBEsol-optimized structure of SrTa2Hg, with properties calculated at the meta-GGA SCAN level.

Cell lengths 3.077, 5.095, 5.481 Å; angles 90.00, 90.00, 90.00 degrees
Space group Pmmm (No. 47)
One atom of each set of equivalent atoms:
Sr 0.000 0.000 0.000
Ta 0.000 0.500 0.500
Ta 0.500 0.000 0.500
Hg 0.500 0.500 0.000

Summary:
DOS at the Fermi energy = 4.55 states/eV/f.u.
Energy of formation = 0.736 eV/atom
Density = 12.56 g cm⁻³

Below is a PBEsol-optimized structure of Li2V2P2O11, with properties calculated at the meta-GGA SCAN level.

Cell lengths 7.839, 10.592, 5.295 Å; angles 90.00, 90.00, 90.00 degrees
Space group P2_12_12 (No. 18)
One atom of each set of equivalent atoms:
Li 0.109 0.122 0.047
V 0.198 0.952 0.477
P 0.054 0.686 0.676
O 0.000 0.000 0.307
O 0.005 0.262 0.922
O 0.085 0.388 0.527
O 0.113 0.790 0.486
O 0.178 0.004 0.758
O 0.209 0.595 0.710

Summary:
DOS at the Fermi energy = 0.00 states/eV/f.u.
Density = 2.67 g cm⁻³
Uncorrected formation energy = -2492 meV per atom

Below is a PBEsol-optimized structure of MnAlSi, with properties calculated at the meta-GGA SCAN level.

Cell lengths 2.669, 2.669, 10.825 Å; angles 90.00, 90.00, 90.00 degrees
Space group I4mm (No. 107)
One atom of each set of equivalent atoms:
Mn 0.000 0.000 0.000
Al 0.000 0.000 0.661
Si 0.000 0.000 0.358

Summary:
DOS at the Fermi energy = 2.02 states/eV/f.u.
Density = 4.74 g cm⁻³
Uncorrected formation energy = -127 meV per atom

Below is a PBEsol-optimized structure of SrCa2SeCl, with properties calculated at the meta-GGA SCAN level.

Cell lengths 5.503, 5.503, 6.155 Å; angles 90.00, 90.00, 90.00 degrees
Space group P4/mmm (No. 123)
One atom of each set of equivalent atoms:
Sr 0.000 0.000 0.000
Ca 0.000 0.500 0.500
Se 0.000 0.000 0.500
Cl 0.500 0.500 0.000

Summary:
DOS at the Fermi energy = 5.16 states/eV/f.u.
Density = 2.51 g cm⁻³
Uncorrected formation energy = -918 meV per atom